# 1
# Cd2GaS (PBE-GGA, relaxed)
# Formation energy without anion corrections: -0.05 eV/atom
# Excess energy over the best structure of this formula in the dataset: 0.000 eV per atom
# D(E_F): 0.9 states/eV/f.u.
data_Cd2GaS
_symmetry_space_group_name_H-M 'I -4 2 d'
_symmetry_Int_Tables_number 122
_symmetry_space_group_name_Hall 'I -4 2bw'
_cell_length_a 6.7840
_cell_length_b 6.7840
_cell_length_c 9.2794
_cell_angle_alpha 90.00
_cell_angle_beta 90.00
_cell_angle_gamma 90.00
loop_
_atom_site_label
_atom_site_fract_x
_atom_site_fract_y
_atom_site_fract_z
Cd1 0.2307 0.2500 0.1250
Ga1 0.0000 0.0000 0.5000
S1 0.0000 0.0000 0.0000


# 2
# RePbAu2N (PBE-GGA, relaxed)
# Formation energy without anion corrections: 0.72 eV/atom
# D(E_F): 4.1 states/eV/f.u.
data_RePbAu2N
_symmetry_space_group_name_H-M 'P 4/m m m'
_symmetry_Int_Tables_number 123
_symmetry_space_group_name_Hall '-P 4 2'
_cell_length_a 4.9246
_cell_length_b 4.9246
_cell_length_c 3.8374
_cell_angle_alpha 90.00
_cell_angle_beta 90.00
_cell_angle_gamma 90.00
loop_
_atom_site_label
_atom_site_fract_x
_atom_site_fract_y
_atom_site_fract_z
Re1 0.0000 0.0000 0.0000
Pb1 0.5000 0.5000 0.0000
Au1 0.0000 0.5000 0.5000
N1 0.0000 0.0000 0.5000


# 3
# Ti2TlTe (PBE-GGA, relaxed)
# Formation energy without anion corrections: 0.55 eV/atom
# Excess energy over the best structure of this formula in the dataset: 0.502 eV per atom
# D(E_F): 4.7 states/eV/f.u.
data_Ti2TlTe
_symmetry_space_group_name_H-M 'I -4 2 d'
_symmetry_Int_Tables_number 122
_symmetry_space_group_name_Hall 'I -4 2bw'
_cell_length_a 5.9927
_cell_length_b 5.9927
_cell_length_c 13.5382
_cell_angle_alpha 90.00
_cell_angle_beta 90.00
_cell_angle_gamma 90.00
loop_
_atom_site_label
_atom_site_fract_x
_atom_site_fract_y
_atom_site_fract_z
Ti1 0.2426 0.2500 0.1250
Tl1 0.0000 0.0000 0.0000
Te1 0.0000 0.0000 0.5000


# 4
# La4IrS2Br (PBE-GGA, relaxed)
# Formation energy without anion corrections: -1.59 eV/atom
# D(E_F): 6.0 states/eV/f.u.
data_La4IrS2Br
_symmetry_space_group_name_H-M 'P 1 2/m 1'
_symmetry_Int_Tables_number 10
_cell_length_a 7.3838
_cell_length_b 4.1372
_cell_length_c 7.4685
_cell_angle_alpha 90.00
_cell_angle_beta 108.90
_cell_angle_gamma 90.00
loop_
_symmetry_equiv_pos_as_xyz
'x,y,z'
'-x,-y,-z'
'-x,y,-z'
'x,-y,z'
loop_
_atom_site_label
_atom_site_fract_x
_atom_site_fract_y
_atom_site_fract_z
La1 0.2298 0.0000 0.2305
La2 0.2568 0.5000 0.7708
Ir1 0.5000 0.0000 0.0000
S1 0.0000 0.0000 0.5000
S2 0.0000 0.5000 0.0000
Br1 0.5000 0.5000 0.5000


# 5
# Li2Mg3F8 (PBE-GGA, relaxed)
# Formation energy without anion corrections: -3.33 eV/atom
# D(E_F): 0.0 states/eV/f.u.
data_Li2Mg3F8
_symmetry_space_group_name_H-M 'C m c e'
_symmetry_Int_Tables_number 64
_symmetry_space_group_name_Hall '-C 2ac 2'
_cell_length_a 6.1132
_cell_length_b 11.6650
_cell_length_c 8.4761
_cell_angle_alpha 90.00
_cell_angle_beta 90.00
_cell_angle_gamma 90.00
loop_
_atom_site_label
_atom_site_fract_x
_atom_site_fract_y
_atom_site_fract_z
Li1 0.0000 0.1195 0.1106
Mg1 0.0000 0.0000 0.5000
Mg2 0.2500 0.1434 0.7500
F1 0.0000 0.0163 0.7399
F2 0.0000 0.2488 0.7430
F3 0.2438 0.1146 0.5189


# 6
# Pr2Tm4Tl3H2 (PBE-GGA, relaxed)
# E: -4.05 eV per atom
# D(E_F): 9.3 states/eV/f.u.
data_Pr2Tm4Tl3H2
_symmetry_space_group_name_H-M 'I 4/m m m'
_symmetry_Int_Tables_number 139
_symmetry_space_group_name_Hall '-I 4 2'
_cell_length_a 4.7797
_cell_length_b 4.7797
_cell_length_c 24.4814
_cell_angle_alpha 90.00
_cell_angle_beta 90.00
_cell_angle_gamma 90.00
loop_
_atom_site_label
_atom_site_fract_x
_atom_site_fract_y
_atom_site_fract_z
Pr1 0.0000 0.0000 0.1956
Tm1 0.0000 0.5000 0.0813
Tl1 0.0000 0.0000 0.3309
Tl2 0.0000 0.0000 0.5000
H1 0.0000 0.0000 0.0952


# 7
# Y2ZrRe (PBE-GGA, relaxed)
# Excess energy over the best structure of this formula in the dataset: 0.390 eV per atom
# Energy of formation: 421 meV per atom
# D(E_F): 5.7 states/eV/f.u.
data_Y2ZrRe
_symmetry_space_group_name_H-M 'R -3 m'
_symmetry_Int_Tables_number 166
_symmetry_space_group_name_Hall '-R 3 2"'
_cell_length_a 3.3462
_cell_length_b 3.3462
_cell_length_c 29.8795
_cell_angle_alpha 90.00
_cell_angle_beta 90.00
_cell_angle_gamma 120.00
loop_
_atom_site_label
_atom_site_fract_x
_atom_site_fract_y
_atom_site_fract_z
Y1 0.0000 0.0000 0.2375
Zr1 0.0000 0.0000 0.0000
Re1 0.0000 0.0000 0.5000


# 8
# HRhS2 (PBE-GGA, relaxed)
# Excess energy over the best structure of this formula in the dataset: 0.297 eV per atom
# D(E_F): 0.6 states/eV/f.u.
data_HRhS2
_symmetry_space_group_name_H-M 'P 1 21/c 1'
_symmetry_Int_Tables_number 14
_cell_length_a 7.9154
_cell_length_b 4.0104
_cell_length_c 8.5445
_cell_angle_alpha 90.00
_cell_angle_beta 110.36
_cell_angle_gamma 90.00
loop_
_symmetry_equiv_pos_as_xyz
'x,y,z'
'-x,-y,-z'
'-x,y+1/2,-z+1/2'
'x,-y+1/2,z+1/2'
loop_
_atom_site_label
_atom_site_fract_x
_atom_site_fract_y
_atom_site_fract_z
H1 0.0974 0.0205 0.2617
Rh1 0.0745 0.1876 0.8882
S1 0.2014 0.6172 0.0819
S2 0.3294 0.0658 0.8170


Copy entry 7 word for word.
# Y2ZrRe (PBE-GGA, relaxed)
# Excess energy over the best structure of this formula in the dataset: 0.390 eV per atom
# Energy of formation: 421 meV per atom
# D(E_F): 5.7 states/eV/f.u.
data_Y2ZrRe
_symmetry_space_group_name_H-M 'R -3 m'
_symmetry_Int_Tables_number 166
_symmetry_space_group_name_Hall '-R 3 2"'
_cell_length_a 3.3462
_cell_length_b 3.3462
_cell_length_c 29.8795
_cell_angle_alpha 90.00
_cell_angle_beta 90.00
_cell_angle_gamma 120.00
loop_
_atom_site_label
_atom_site_fract_x
_atom_site_fract_y
_atom_site_fract_z
Y1 0.0000 0.0000 0.2375
Zr1 0.0000 0.0000 0.0000
Re1 0.0000 0.0000 0.5000


- Which of these has the highest D(E_F)?
  Pr2Tm4Tl3H2


- D(E_F) of number 7 (Y2ZrRe)?
  5.7 states/eV/f.u.


- Which value of D(E_F) does entry 7 give?
  5.7 states/eV/f.u.